Record 1
Cu5Sn4 | PBEsol | optimized geometry

Calculated values
The energy above the lowest structure with this stoichiometry is 2 meV/atom. The value obtained for the density of states at the Fermi level is 2.7 states/eV/f.u. Its crystal system is monoclinic. For the formation enthalpy at 0 K, the calculation gives -0.037 eV/atom.

```
Cu5Sn4
1.0
7.2749 0.0000 0.0000
-3.6374 6.3138 -0.0114
0.0000 -0.0762 10.0670
Sn Cu
12 15
Cartesian
0.9788 2.2621 0.1930
5.7172 2.0109 7.5589
1.0482 2.0902 4.8253
2.3436 4.3601 7.5502
4.9297 0.0000 0.0000
2.0798 4.2267 2.4968
-1.2350 6.1368 7.3439
4.6162 3.9756 9.8626
4.6856 4.1474 5.2303
4.7321 -0.0381 5.0335
2.4025 0.1009 2.7118
5.9810 1.8775 2.5055
3.3755 2.0786 6.2719
-0.0866 4.0603 6.2651
3.5509 2.1774 3.7906
3.3300 1.9545 8.7974
2.3298 0.0000 0.0000
-0.1367 4.1524 8.7937
3.5395 6.1754 3.7812
-0.2620 4.1590 3.7837
-0.3075 4.2832 1.2582
3.6633 6.2039 1.2543
1.0471 2.0928 7.5368
0.0259 0.0337 8.8013
7.1769 0.0622 6.2745
3.5008 2.0852 1.2620
4.6846 4.1449 2.5189
```


Record 2
Tl2IBr | PBEsol | optimized geometry

Calculated values
The energy above the lowest structure with this stoichiometry is 84 meV/atom. The value obtained for the density of states at the Fermi level is 0.0 states/eV/f.u. Its crystal system is tetragonal. The formation energy (no corrections) comes out at -2.28 eV/f.u.

```
Tl2IBr
1.0
-6.3984 -0.4756 5.6904
3.5566 -7.0179 3.4125
3.6781 6.2256 -1.8063
I Br Tl
2 2 4
Cartesian
2.9069 -2.2696 3.0789
0.0000 0.0000 0.0000
-2.0706 1.0016 4.2178
-1.4209 -3.7468 4.5515
0.9141 0.1206 4.2690
-3.2223 -1.4823 5.6978
1.5091 -4.7718 4.7777
2.4717 3.5976 -0.1512
```


Record 3
NaCO3 | PBEsol | optimized geometry

Calculated values
Its crystal system is trigonal. The formation energy (no corrections) comes out at -6.74 eV/f.u.

```
NaCO3
1.0
5.0939 0.0000 0.0000
2.5470 4.4115 0.0000
2.5470 1.4705 5.7313
Na C O
2 2 6
Cartesian
5.0939 2.9410 2.8657
0.0000 0.0000 0.0000
2.5470 1.4705 1.4328
7.6409 4.4115 4.2985
4.4561 4.7773 1.4328
3.8225 1.4705 1.4328
7.0031 2.5751 1.4328
5.7317 1.1046 4.2985
6.3653 4.4115 4.2985
3.1847 3.3068 4.2985
```


Record 4
YPbBr2 | PBEsol | optimized geometry

Calculated values
The energy above the lowest structure with this stoichiometry is 0 meV/atom. The value obtained for the density of states at the Fermi level is 1.9 states/eV/f.u. Its crystal system is trigonal. The formation energy (no corrections) comes out at -4.18 eV/f.u.

```
YPbBr2
1.0
-2.9300 1.7476 -1.1303
-2.0644 -1.4289 -2.5716
-7.2823 -4.6766 5.9330
Br Pb Y
2 1 1
Cartesian
-9.5592 -3.5678 2.1220
-2.7175 -0.7900 0.1091
-6.1384 -2.1789 1.1156
0.0000 0.0000 0.0000
```


Record 5
NaY2Tc | PBEsol | optimized geometry

Calculated values
The value obtained for the density of states at the Fermi level is 2.5 states/eV/f.u. Its crystal system is cubic. For the formation enthalpy at 0 K, the calculation gives 0.267 eV/atom.

```
NaY2Tc
1.0
-0.2815 4.7120 -1.6321
-1.5164 0.9407 -4.6650
-4.4588 2.1035 -0.8003
Na Y Tc
1 2 1
Cartesian
0.0000 0.0000 0.0000
-4.6926 5.8172 -5.3230
-1.5642 1.9391 -1.7743
-3.1284 3.8781 -3.5487
```


Record 6
Ta2InRh | PBEsol | optimized geometry

Calculated values
The value obtained for the density of states at the Fermi level is 2.7 states/eV/f.u. Its crystal system is orthorhombic. For the formation enthalpy at 0 K, the calculation gives -0.163 eV/atom.

```
Ta2InRh
1.0
-1.0480 2.9010 -1.1078
-4.1595 -1.4603 0.1109
2.1856 0.8039 4.8856
In Ta Rh
1 2 1
Cartesian
-0.5240 1.4505 -0.5539
-2.8044 1.4518 1.6068
-0.2175 0.7928 2.2819
-2.0798 -0.7302 0.0554
```


Q: Number 1 is which compound?
A: Cu5Sn4


Repeat the third record exactly.
NaCO3 | PBEsol | optimized geometry

Calculated values
Its crystal system is trigonal. The formation energy (no corrections) comes out at -6.74 eV/f.u.

```
NaCO3
1.0
5.0939 0.0000 0.0000
2.5470 4.4115 0.0000
2.5470 1.4705 5.7313
Na C O
2 2 6
Cartesian
5.0939 2.9410 2.8657
0.0000 0.0000 0.0000
2.5470 1.4705 1.4328
7.6409 4.4115 4.2985
4.4561 4.7773 1.4328
3.8225 1.4705 1.4328
7.0031 2.5751 1.4328
5.7317 1.1046 4.2985
6.3653 4.4115 4.2985
3.1847 3.3068 4.2985
```